1.
CrOs2W: optimized geometry, PBE-GGA.

a = 2.7515 Å, b = 3.8011 Å, c = 5.4784 Å
α = 90.00°, β = 90.00°, γ = 90.00°
Closest atoms and distances in Å follow each position.
Atoms (fractional coordinates):
Cr (0.0000, 0.0000, 0.0000)  6 Os 2.63-2.84, 2 Cr 2.75, 4 W 2.76
Os (0.0000, 0.0000, 0.4821)  2 Cr 2.64-2.84, 4 W 2.73, 6 Os 2.75-2.76
Os (0.5000, 0.5000, 0.2180)  4 Cr 2.63, 2 W 2.64-2.84, 6 Os 2.75-2.76
W (0.5000, 0.5000, 0.7359)  6 Os 2.64-2.84, 2 W 2.75, 4 Cr 2.76

Properties
* ΔE to the lowest computed polymorph: 0.0663 eV per atom
* total energy: -44.406 eV per cell
* crystal system: orthorhombic
* DFT formation energy: 0.157 eV/atom
* space group: Pmm2

=====

2.
NiPd6Au2: optimized geometry, PBE-GGA.

a = 4.8765 Å, b = 4.8765 Å, c = 8.4268 Å
α = 107.57°, β = 107.57°, γ = 48.03°
Closest atoms and distances in Å follow each position.
Atoms (fractional coordinates):
Ni (0.0000, 0.0000, 0.0000)  12 Pd 2.70-2.84
Pd (0.0062, 0.0062, 0.6794)  1 Ni 2.72, 6 Pd 2.77-2.99, 5 Au 2.83-2.88
Pd (0.3259, 0.3259, 0.1056)  8 Pd 2.71-2.81, 3 Ni 2.74-2.84, 1 Au 2.81
Pd (0.3459, 0.3459, 0.7919)  2 Ni 2.70, 7 Pd 2.71-2.86, 3 Au 2.87-2.91
Pd (0.6541, 0.6541, 0.2081)  2 Ni 2.70, 7 Pd 2.71-2.86, 3 Au 2.87-2.91
Pd (0.6741, 0.6741, 0.8944)  8 Pd 2.71-2.81, 3 Ni 2.74-2.84, 1 Au 2.81
Pd (0.9938, 0.9938, 0.3206)  1 Ni 2.72, 6 Pd 2.77-2.99, 5 Au 2.83-2.88
Au (0.3320, 0.3320, 0.4415)  9 Pd 2.81-2.91, 3 Au 2.83
Au (0.6680, 0.6680, 0.5585)  9 Pd 2.81-2.91, 3 Au 2.83

Properties
* ΔE to the lowest computed polymorph: 0.0000 eV per atom
* total energy: -43.561 eV per cell
* crystal system: monoclinic
* DFT formation energy: -0.008 eV/atom
* space group: C2/m

=====

3.
CaRu2Au: optimized geometry, PBE-GGA.

a = 3.1972 Å, b = 4.9223 Å, c = 4.7397 Å
α = 90.00°, β = 94.21°, γ = 90.00°
Closest atoms and distances in Å follow each position.
Atoms (fractional coordinates):
Ca (0.0000, 0.0000, 0.0000)  4 Au 2.76-2.95, 4 Ru 3.00
Ru (0.3715, 0.5000, 0.7548)  2 Ru 2.41-2.61
Ru (0.6285, 0.5000, 0.2452)  2 Ru 2.41-2.61
Au (0.5000, 0.0000, 0.5000)  4 Ca 2.76-2.95, 4 Ru 2.79

Properties
* ΔE to the lowest computed polymorph: 0.2383 eV per atom
* total energy: -22.482 eV per cell
* crystal system: monoclinic
* DFT formation energy: 0.337 eV/atom
* space group: P2/m

=====

4.
ZnOsCl2: optimized geometry, PBE-GGA.

a = 3.0782 Å, b = 3.0782 Å, c = 9.2050 Å
α = 90.00°, β = 90.00°, γ = 90.00°
Closest atoms and distances in Å follow each position.
Atoms (fractional coordinates):
Zn (0.0000, 0.0000, 0.0000)  4 Zn 3.08
Os (0.0000, 0.0000, 0.5000)  8 Cl 2.75, 4 Os 3.08
Cl (0.5000, 0.5000, 0.3174)  4 Os 2.75, 4 Cl 3.08
Cl (0.5000, 0.5000, 0.6826)  4 Os 2.75, 4 Cl 3.08

Properties
* ΔE to the lowest computed polymorph: 0.8538 eV per atom
* total energy: -12.820 eV per cell
* uncorrected formation energy: 3.377 eV per formula unit
* crystal system: tetragonal
* space group: P4/mmm